(1)
La12TlPd5: optimized geometry, PBE-GGA.

Its formation energy is -0.505 eV/atom. As for the total DFT energy (no corrections): -5.36 eV per atom. For the total magnetization, the calculation gives 0.0 μB/f.u.

abc: 9.9019 10.3136 10.8488
angles: 90.00 90.00 90.00
Space group Immm (No. 71)
Symmetry-distinct sites (fractional):
La  0.0000  0.1862  0.2201 [8 per cell]
La  0.1965  0.5000  0.1730 [8 per cell]
La  0.2097  0.3229  0.5000 [8 per cell]
Tl  0.0000  0.0000  0.5000 [2 per cell]
Pd  0.0000  0.0000  0.0000 [2 per cell]
Pd  0.0000  0.3541  0.0000 [4 per cell]
Pd  0.0000  0.5000  0.3681 [4 per cell]

---

(2)
La2TlPd2: optimized geometry, PBE-GGA.

Its formation energy is -0.542 eV/atom. As for the total DFT energy (no corrections): -5.06 eV per atom. For the total magnetization, the calculation gives 0.0 μB/f.u.

abc: 3.9324 3.9324 17.5292
angles: 90.00 90.00 90.00
Space group I4/mmm (No. 139)
Symmetry-distinct sites (fractional):
La  0.0000  0.0000  0.1218 [4 per cell]
Tl  0.0000  0.0000  0.5000 [2 per cell]
Pd  0.0000  0.5000  0.2500 [4 per cell]

---

(3)
LaTl3Pd3: optimized geometry, PBE-GGA.

Its formation energy is 0.107 eV/atom. As for the total DFT energy (no corrections): -3.84 eV per atom. For the total magnetization, the calculation gives 0.2 μB/f.u. The calculation puts the energy above the most stable polymorph in this dataset at 0.458 eV/atom.

abc: 7.4301 7.4301 7.4301
angles: 90.00 90.00 90.00
Space group Pm-3n (No. 223)
Symmetry-distinct sites (fractional):
La  0.0000  0.0000  0.0000 [2 per cell]
Tl  0.0000  0.2500  0.5000 [6 per cell]
Pd  0.0000  0.5000  0.2500 [6 per cell]

---

(4)
LaTl2Pd2: optimized geometry, PBE-GGA.

Its formation energy is -0.481 eV/atom. As for the total DFT energy (no corrections): -4.49 eV per atom. For the total magnetization, the calculation gives 0.0 μB/f.u. The calculation puts the energy above the most stable polymorph in this dataset at 0.000 eV/atom.

abc: 5.4684 4.8263 9.4770
angles: 90.00 105.01 90.00
Space group P2_1/m (No. 11)
Symmetry-distinct sites (fractional):
La  0.1890  0.2500  0.2684 [2 per cell]
Tl  0.2179  0.2500  0.6281 [2 per cell]
Tl  0.3635  0.7500  0.0422 [2 per cell]
Pd  0.1031  0.2500  0.9038 [2 per cell]
Pd  0.3374  0.7500  0.4797 [2 per cell]

---

(5)
La8TlPd2: optimized geometry, PBE-GGA.

Its formation energy is -0.360 eV/atom. As for the total DFT energy (no corrections): -5.10 eV per atom. For the total magnetization, the calculation gives 0.0 μB/f.u. The calculation puts the energy above the most stable polymorph in this dataset at 0.000 eV/atom.

abc: 18.0997 5.1348 8.2225
angles: 90.00 115.27 90.00
Space group C2/m (No. 12)
Symmetry-distinct sites (fractional):
La  0.0475  0.0000  0.2631 [4 per cell]
La  0.0909  0.5000  0.9638 [4 per cell]
La  0.1833  0.5000  0.4782 [4 per cell]
La  0.1859  0.0000  0.7925 [4 per cell]
Tl  0.0000  0.5000  0.5000 [2 per cell]
Pd  0.1921  0.0000  0.1502 [4 per cell]

---

(6)
LaTlPd3: optimized geometry, PBE-GGA.

Its formation energy is 0.383 eV/atom. As for the total DFT energy (no corrections): -4.19 eV per atom. For the total magnetization, the calculation gives 0.0 μB/f.u. The calculation puts the energy above the most stable polymorph in this dataset at 0.938 eV/atom.

abc: 5.2400 5.2400 5.2400
angles: 90.00 90.00 90.00
Space group Pm-3m (No. 221)
Symmetry-distinct sites (fractional):
La  0.0000  0.0000  0.0000 [1 per cell]
Tl  0.5000  0.5000  0.5000 [1 per cell]
Pd  0.0000  0.0000  0.5000 [3 per cell]

---

(7)
La6Tl3Pd: optimized geometry, PBE-GGA.

Its formation energy is -0.380 eV/atom. As for the total DFT energy (no corrections): -4.57 eV per atom. For the total magnetization, the calculation gives 0.0 μB/f.u.

abc: 5.6412 9.6813 13.0524
angles: 90.00 115.56 90.00
Space group P2_1/c (No. 14)
Symmetry-distinct sites (fractional):
La  0.0496  0.1756  0.0490 [4 per cell]
La  0.2328  0.5009  0.2352 [4 per cell]
La  0.4416  0.1588  0.4397 [4 per cell]
Tl  0.2549  0.6654  0.7525 [4 per cell]
Tl  0.5000  0.0000  0.0000 [2 per cell]
Pd  0.0000  0.0000  0.5000 [2 per cell]

---

(8)
La2Tl2Pd: optimized geometry, PBE-GGA.

Its formation energy is -0.251 eV/atom. As for the total DFT energy (no corrections): -4.21 eV per atom. For the total magnetization, the calculation gives 0.0 μB/f.u. The calculation puts the energy above the most stable polymorph in this dataset at 0.142 eV/atom.

abc: 7.6504 7.6504 5.3288
angles: 90.00 90.00 90.00
Space group P4/mbm (No. 127)
Symmetry-distinct sites (fractional):
La  0.1579  0.3421  0.0000 [4 per cell]
Tl  0.1540  0.6540  0.5000 [4 per cell]
Pd  0.0000  0.0000  0.0000 [2 per cell]